Computed, not measured: a relaxed Sr2SbSe crystal at the PBE level of DFT. Values from VASP.

```
&SYSTEM
  ibrav = 0, nat = 4, ntyp = 3
/
ATOMIC_SPECIES
Sb 121.76 Sb.upf
Se 78.96 Se.upf
Sr 87.62 Sr.upf
CELL_PARAMETERS angstrom
-0.901 5.493 4.294
1.920 0.255 6.758
2.373 -1.727 -6.388
ATOMIC_POSITIONS angstrom
Sb 0.509 2.874 5.526
Se 0.991 3.320 1.716
Sr 0.000 0.000 0.000
Sr 2.401 0.701 2.948
```

Computed properties:
Raw total energy: -15.3 eV per formula unit
Formation energy without anion corrections: -1.085 eV per atom
Volume: 32.4 Å³ per atom
Energy above the most stable polymorph in this dataset: 0.310 eV/atom

Computed, not measured: a relaxed Sr2SbSe crystal at the PBE level of DFT. Values from VASP.

```
&SYSTEM
  ibrav = 0, nat = 4, ntyp = 3
/
ATOMIC_SPECIES
Sb 121.76 Sb.upf
Se 78.96 Se.upf
Sr 87.62 Sr.upf
CELL_PARAMETERS angstrom
4.379 0.038 -0.014
2.085 3.851 -0.014
2.259 1.359 8.165
ATOMIC_POSITIONS angstrom
Sb 6.543 3.936 6.103
Se 2.181 1.312 2.034
Sr 6.475 3.895 0.186
Sr 4.351 2.618 3.854
```

Computed properties:
Raw total energy: -16.6 eV per formula unit
Formation energy without anion corrections: -1.395 eV per atom
Volume: 34.3 Å³ per atom
Energy above the most stable polymorph in this dataset: 0.000 eV/atom

Computed, not measured: a relaxed SrSbSe3 crystal at the PBE level of DFT. Values from VASP.

```
&SYSTEM
  ibrav = 0, nat = 5, ntyp = 3
/
ATOMIC_SPECIES
Sb 121.76 Sb.upf
Se 78.96 Se.upf
Sr 87.62 Sr.upf
CELL_PARAMETERS angstrom
5.350 0.000 0.000
0.000 5.350 0.000
0.000 0.000 5.350
ATOMIC_POSITIONS angstrom
Sb 0.000 0.000 0.000
Se 0.000 2.675 0.000
Se 0.000 0.000 2.675
Se 2.675 0.000 0.000
Sr 2.675 2.675 2.675
```

Computed properties:
Raw total energy: -19.5 eV per formula unit
Formation energy without anion corrections: -0.640 eV per atom
Volume: 30.6 Å³ per atom
Energy above the most stable polymorph in this dataset: 0.190 eV/atom

Computed, not measured: a relaxed Sr2SbSe crystal at the PBE level of DFT. Values from VASP.

```
&SYSTEM
  ibrav = 0, nat = 4, ntyp = 3
/
ATOMIC_SPECIES
Sb 121.76 Sb.upf
Se 78.96 Se.upf
Sr 87.62 Sr.upf
CELL_PARAMETERS angstrom
6.581 0.000 0.000
0.000 4.427 0.000
0.000 0.000 4.789
ATOMIC_POSITIONS angstrom
Sb 0.000 1.658 1.795
Se 3.291 3.876 4.190
Sr 0.000 3.871 4.190
Sr 3.291 1.663 1.796
```

Computed properties:
Raw total energy: -16.2 eV per formula unit
Formation energy without anion corrections: -1.299 eV per atom
Volume: 34.9 Å³ per atom
Energy above the most stable polymorph in this dataset: 0.096 eV/atom

Computed, not measured: a relaxed SrSbSe2 crystal at the PBE level of DFT. Values from VASP.

```
&SYSTEM
  ibrav = 0, nat = 4, ntyp = 3
/
ATOMIC_SPECIES
Sb 121.76 Sb.upf
Se 78.96 Se.upf
Sr 87.62 Sr.upf
CELL_PARAMETERS angstrom
5.595 0.000 0.016
0.490 5.573 -0.016
-2.236 -3.667 3.585
ATOMIC_POSITIONS angstrom
Sb 0.648 2.346 1.785
Se 0.175 0.160 0.000
Se 2.868 2.627 0.000
Sr 3.201 -0.440 1.801
```

Computed properties:
Raw total energy: -16.2 eV per formula unit
Formation energy without anion corrections: -0.864 eV per atom
Volume: 27.9 Å³ per atom

Computed, not measured: a relaxed SrSbSe2 crystal at the PBE level of DFT. Values from VASP.

```
&SYSTEM
  ibrav = 0, nat = 4, ntyp = 3
/
ATOMIC_SPECIES
Sb 121.76 Sb.upf
Se 78.96 Se.upf
Sr 87.62 Sr.upf
CELL_PARAMETERS angstrom
3.914 -0.058 0.000
-1.360 3.671 0.000
0.000 0.000 7.957
ATOMIC_POSITIONS angstrom
Sb 1.277 1.806 5.968
Se 0.000 0.000 7.934
Se 0.000 0.000 4.002
Sr 1.277 1.806 1.989
```

Computed properties:
Raw total energy: -15.6 eV per formula unit
Formation energy without anion corrections: -0.703 eV per atom
Volume: 28.4 Å³ per atom

Computed, not measured: a relaxed SrSb3Se6 crystal at the PBE level of DFT. Values from VASP.

```
&SYSTEM
  ibrav = 0, nat = 20, ntyp = 3
/
ATOMIC_SPECIES
Sr 87.62 Sr.upf
Sb 121.76 Sb.upf
Se 78.96 Se.upf
CELL_PARAMETERS angstrom
-0.381 0.369 -4.015
-0.869 -12.496 -1.067
-11.014 8.169 1.797
ATOMIC_POSITIONS angstrom
Sr -11.381 -0.275 -2.008
Sr -0.883 -3.683 -1.276
Sb -6.655 -0.203 -2.451
Sb -5.609 -3.754 -0.834
Sb -3.960 -6.508 -3.286
Sb -8.304 2.551 0.002
Sb -10.473 -4.859 -2.516
Sb -1.791 0.902 -0.768
Se -6.468 2.498 -2.220
Se -5.796 -6.456 -1.065
Se -1.191 -1.097 -3.052
Se -11.073 -2.861 -0.233
Se -7.647 -3.221 -2.634
Se -4.616 -0.737 -0.651
Se -3.594 -3.883 -3.080
Se -8.670 -0.075 -0.205
Se -10.499 2.804 -1.809
Se -1.765 -6.762 -1.476
Se -3.412 -9.655 -3.628
Se -8.851 5.697 0.343
```

Computed properties:
Raw total energy: -40.7 eV per formula unit
Formation energy without anion corrections: -0.574 eV per atom
Volume: 29.6 Å³ per atom

Computed, not measured: a relaxed SrSbSe2 crystal at the PBE level of DFT. Values from VASP.

```
&SYSTEM
  ibrav = 0, nat = 4, ntyp = 3
/
ATOMIC_SPECIES
Sb 121.76 Sb.upf
Se 78.96 Se.upf
Sr 87.62 Sr.upf
CELL_PARAMETERS angstrom
-0.258 -3.443 -1.889
3.680 0.433 -1.292
2.582 -3.569 6.153
ATOMIC_POSITIONS angstrom
Sb 4.567 -4.073 2.702
Se 2.827 0.235 -0.814
Se 3.985 -1.370 1.953
Sr 1.437 -2.505 0.271
```

Computed properties:
Raw total energy: -16.6 eV per formula unit
Formation energy without anion corrections: -0.965 eV per atom
Volume: 29.2 Å³ per atom

Computed, not measured: a relaxed SrSbSe2 crystal at the PBE level of DFT. Values from VASP.

```
&SYSTEM
  ibrav = 0, nat = 4, ntyp = 3
/
ATOMIC_SPECIES
Sr 87.62 Sr.upf
Sb 121.76 Sb.upf
Se 78.96 Se.upf
CELL_PARAMETERS angstrom
-0.594 1.487 4.222
-3.167 -1.862 2.624
3.295 -4.693 4.531
ATOMIC_POSITIONS angstrom
Sr -0.240 -2.528 5.685
Sb 0.727 -4.883 9.065
Se 2.332 -3.726 4.055
Se -0.224 -1.160 2.791
```

Computed properties:
Raw total energy: -16.1 eV per formula unit
Formation energy without anion corrections: -0.831 eV per atom
Volume: 30.1 Å³ per atom

Computed, not measured: a relaxed Sr5SbSe8 crystal at the PBE level of DFT. Values from VASP.

```
&SYSTEM
  ibrav = 0, nat = 14, ntyp = 3
/
ATOMIC_SPECIES
Sr 87.62 Sr.upf
Sb 121.76 Sb.upf
Se 78.96 Se.upf
CELL_PARAMETERS angstrom
-3.189 -4.788 -5.583
4.146 -4.223 5.408
-6.151 3.838 3.422
ATOMIC_POSITIONS angstrom
Sr 0.731 -1.118 2.513
Sr -0.669 -6.853 0.720
Sr -3.671 -3.825 1.255
Sr -4.670 -0.475 -1.081
Sr -6.779 1.451 2.005
Sb -3.337 -0.430 3.874
Se 2.550 -3.735 3.287
Se -7.106 -2.453 -2.349
Se -3.640 -3.316 -1.834
Se -5.766 -1.490 1.651
Se -0.494 -3.791 1.348
Se -3.597 -3.280 4.320
Se -2.234 -0.878 1.234
Se -0.488 -1.748 5.327
```

Computed properties:
Raw total energy: -58.6 eV per formula unit
Formation energy without anion corrections: -1.301 eV per atom
Volume: 28.3 Å³ per atom

Computed, not measured: a relaxed SrSb2Se crystal at the PBE level of DFT. Values from VASP.

```
&SYSTEM
  ibrav = 0, nat = 4, ntyp = 3
/
ATOMIC_SPECIES
Sb 121.76 Sb.upf
Se 78.96 Se.upf
Sr 87.62 Sr.upf
CELL_PARAMETERS angstrom
-4.938 -2.156 0.747
1.662 -4.526 -2.520
2.791 1.877 4.276
ATOMIC_POSITIONS angstrom
Sb 0.000 0.000 0.000
Sb 1.407 -2.995 0.435
Se -1.638 -3.341 -0.886
Sr -1.893 -1.810 2.069
```

Computed properties:
Raw total energy: -15.3 eV per formula unit
Formation energy without anion corrections: -0.470 eV per atom
Volume: 28.6 Å³ per atom

Computed, not measured: a relaxed SrSbSe2 crystal at the PBE level of DFT. Values from VASP.

```
&SYSTEM
  ibrav = 0, nat = 4, ntyp = 3
/
ATOMIC_SPECIES
Sb 121.76 Sb.upf
Se 78.96 Se.upf
Sr 87.62 Sr.upf
CELL_PARAMETERS angstrom
5.368 0.000 0.000
2.684 4.649 0.000
2.684 1.550 4.383
ATOMIC_POSITIONS angstrom
Sb 5.368 3.099 2.192
Se 0.000 0.000 0.000
Se 2.684 1.550 1.096
Sr 8.052 4.649 3.287
```

Computed properties:
Raw total energy: -13.8 eV per formula unit
Formation energy without anion corrections: -0.255 eV per atom
Volume: 27.3 Å³ per atom

Computed, not measured: a relaxed SrSb2Se crystal at the PBE level of DFT. Values from VASP.

```
&SYSTEM
  ibrav = 0, nat = 4, ntyp = 3
/
ATOMIC_SPECIES
Sb 121.76 Sb.upf
Se 78.96 Se.upf
Sr 87.62 Sr.upf
CELL_PARAMETERS angstrom
-3.518 2.157 1.192
-1.473 -0.175 -4.031
-3.053 -5.735 1.365
ATOMIC_POSITIONS angstrom
Sb 0.000 0.000 0.000
Sb -2.496 0.991 -1.419
Se -3.286 -1.789 1.279
Sr -2.263 -2.955 -1.333
```

Computed properties:
Raw total energy: -16.0 eV per formula unit
Formation energy without anion corrections: -0.644 eV per atom
Volume: 30.6 Å³ per atom

Computed, not measured: a relaxed SrSbSe2 crystal at the PBE level of DFT. Values from VASP.

```
&SYSTEM
  ibrav = 0, nat = 8, ntyp = 3
/
ATOMIC_SPECIES
Sb 121.76 Sb.upf
Se 78.96 Se.upf
Sr 87.62 Sr.upf
CELL_PARAMETERS angstrom
6.105 0.000 0.000
0.000 6.105 0.000
3.053 3.053 8.037
ATOMIC_POSITIONS angstrom
Sb 0.000 0.000 0.000
Sb 6.105 3.053 4.018
Se 4.791 1.526 2.009
Se 1.315 4.579 2.009
Se 4.579 4.367 6.027
Se 7.632 7.843 6.027
Sr 3.053 3.053 0.000
Sr 3.053 6.105 4.018
```

Computed properties:
Raw total energy: -15.9 eV per formula unit
Formation energy without anion corrections: -0.775 eV per atom
Volume: 37.4 Å³ per atom

Computed, not measured: a relaxed SrSb2Se crystal at the PBE level of DFT. Values from VASP.

```
&SYSTEM
  ibrav = 0, nat = 4, ntyp = 3
/
ATOMIC_SPECIES
Sb 121.76 Sb.upf
Se 78.96 Se.upf
Sr 87.62 Sr.upf
CELL_PARAMETERS angstrom
3.668 0.000 0.000
0.000 3.668 0.000
0.000 0.000 8.393
ATOMIC_POSITIONS angstrom
Sb 0.000 0.000 0.264
Sb 0.000 0.000 3.932
Se 1.834 1.834 2.098
Sr 1.834 1.834 6.295
```

Computed properties:
Raw total energy: -13.9 eV per formula unit
Formation energy without anion corrections: -0.112 eV per atom
Volume: 28.2 Å³ per atom

Computed, not measured: a relaxed SrSb2Se4 crystal at the PBE level of DFT. Values from VASP.

```
&SYSTEM
  ibrav = 0, nat = 14, ntyp = 3
/
ATOMIC_SPECIES
Sr 87.62 Sr.upf
Sb 121.76 Sb.upf
Se 78.96 Se.upf
CELL_PARAMETERS angstrom
-3.534 -2.140 0.510
4.804 -2.827 4.445
-4.037 9.083 10.142
ATOMIC_POSITIONS angstrom
Sr -4.124 4.881 8.899
Sr 1.357 -0.765 6.196
Sb -0.927 2.870 5.622
Sb -3.298 4.527 13.136
Sb 0.531 -0.411 1.960
Sb -1.840 1.246 9.474
Se -0.587 -2.134 3.971
Se -1.675 0.313 6.702
Se -2.180 6.250 11.125
Se -1.093 3.804 8.393
Se -2.075 2.252 12.070
Se -0.692 1.864 3.026
Se -1.767 -1.070 0.255
Se -3.786 3.472 5.326
```

Computed properties:
Raw total energy: -29.0 eV per formula unit
Formation energy without anion corrections: -0.732 eV per atom
Volume: 28.8 Å³ per atom
Energy above the most stable polymorph in this dataset: 0.000 eV/atom

Computed, not measured: a relaxed SrSb2Se crystal at the PBE level of DFT. Values from VASP.

```
&SYSTEM
  ibrav = 0, nat = 4, ntyp = 3
/
ATOMIC_SPECIES
Sb 121.76 Sb.upf
Se 78.96 Se.upf
Sr 87.62 Sr.upf
CELL_PARAMETERS angstrom
-2.674 3.448 -0.246
-2.466 -2.138 -3.162
-6.027 -4.527 2.069
ATOMIC_POSITIONS angstrom
Sb -2.870 -2.441 -3.019
Sb -3.035 0.345 -0.996
Se -4.756 -3.661 0.383
Sr -7.218 -2.930 -1.415
```

Computed properties:
Raw total energy: -16.8 eV per formula unit
Formation energy without anion corrections: -0.843 eV per atom
Volume: 33.5 Å³ per atom

Computed, not measured: a relaxed SrSb2Se crystal at the PBE level of DFT. Values from VASP.

```
&SYSTEM
  ibrav = 0, nat = 4, ntyp = 3
/
ATOMIC_SPECIES
Sb 121.76 Sb.upf
Se 78.96 Se.upf
Sr 87.62 Sr.upf
CELL_PARAMETERS angstrom
-1.739 0.604 6.593
-2.366 -3.488 5.393
4.446 -0.830 0.503
ATOMIC_POSITIONS angstrom
Sb 4.234 -0.863 0.727
Sb 0.382 -1.824 6.020
Se 0.085 -0.929 3.122
Sr 0.256 -2.786 9.367
```

Computed properties:
Raw total energy: -16.6 eV per formula unit
Formation energy without anion corrections: -0.786 eV per atom
Volume: 31.4 Å³ per atom

Computed, not measured: a relaxed SrSbSe4 crystal at the PBE level of DFT. Values from VASP.

```
&SYSTEM
  ibrav = 0, nat = 6, ntyp = 3
/
ATOMIC_SPECIES
Sr 87.62 Sr.upf
Sb 121.76 Sb.upf
Se 78.96 Se.upf
CELL_PARAMETERS angstrom
0.000 4.199 4.199
4.199 0.000 4.199
4.199 4.199 0.000
ATOMIC_POSITIONS angstrom
Sr 6.299 6.299 6.299
Sb 0.000 0.000 0.000
Se 3.150 5.248 5.248
Se 5.248 5.248 3.150
Se 5.248 3.150 5.248
Se 3.150 3.150 3.150
```

Computed properties:
Raw total energy: -20.1 eV per formula unit
Formation energy without anion corrections: -0.066 eV per atom
Volume: 24.7 Å³ per atom

Computed, not measured: a relaxed SrSbSe2 crystal at the PBE level of DFT. Values from VASP.

```
&SYSTEM
  ibrav = 0, nat = 4, ntyp = 3
/
ATOMIC_SPECIES
Sb 121.76 Sb.upf
Se 78.96 Se.upf
Sr 87.62 Sr.upf
CELL_PARAMETERS angstrom
-7.631 -1.571 -2.711
3.090 -2.959 2.963
-2.725 -0.263 2.614
ATOMIC_POSITIONS angstrom
Sb -2.270 -2.265 0.126
Se 0.000 0.000 0.000
Se -5.178 -0.917 -0.049
Sr 0.182 -1.611 2.789
```

Computed properties:
Raw total energy: -16.2 eV per formula unit
Formation energy without anion corrections: -0.868 eV per atom
Volume: 25.6 Å³ per atom